Entry 1:
ScMn GGA-PBE optimized geometry; size of the total moment = 0.00 μB/cell; V = 19.54 Å³ per atom; final energy = -0.28137 Ha/atom
1.0
3.635 0.000 0.000
-1.818 3.148 0.000
0.000 0.000 13.655
Sc Mn
4 4
direct
0.333 0.667 0.105
0.333 0.667 0.395
0.667 0.333 0.605
0.667 0.333 0.895
0.000 0.000 0.250
0.000 0.000 0.750
0.333 0.667 0.750
0.667 0.333 0.250

---

Entry 2:
Rb2CdPtO4 GGA-PBE optimized geometry; size of the total moment = 4.01 μB/cell; V = 29.17 Å³ per atom; final energy = -0.16242 Ha/atom; formation energy from raw total energies = -829 meV/atom
1.0
0.000 7.096 10.315
3.188 0.000 10.315
3.188 7.096 0.000
Rb Cd Pt O
4 2 2 8
direct
0.054 0.054 0.696
0.304 0.304 0.946
0.696 0.696 0.054
0.946 0.946 0.304
0.125 0.125 0.125
0.875 0.875 0.875
0.375 0.375 0.375
0.625 0.625 0.625
0.059 0.690 0.501
0.250 0.501 0.690
0.310 0.941 0.750
0.499 0.750 0.941
0.501 0.250 0.059
0.690 0.059 0.250
0.750 0.499 0.310
0.941 0.310 0.499

---

Entry 3:
LaMg2SnPd GGA-PBE optimized geometry; size of the total moment = 0.00 μB/cell; V = 36.41 Å³ per atom; final energy = -0.09784 Ha/atom
1.0
6.013 0.000 0.000
0.000 6.013 0.000
0.000 0.000 5.035
La Mg Sn Pd
1 2 1 1
direct
0.000 0.000 0.000
0.000 0.500 0.000
0.500 0.000 0.000
0.500 0.500 0.500
0.000 0.000 0.500

---

Entry 4:
RbLaZn2 GGA-PBE optimized geometry; polymorph energy (0 for the lowest one) = 184 meV/atom; size of the total moment = 0.00 μB/cell; V = 36.16 Å³ per atom; final energy = -0.06409 Ha/atom
1.0
-4.338 4.338 3.843
4.338 -4.338 3.843
4.338 4.338 -3.843
Rb La Zn
2 2 4
direct
0.000 0.000 0.000
0.750 0.250 0.500
0.250 0.750 0.500
0.500 0.500 0.000
0.157 0.625 0.032
0.375 0.407 0.532
0.593 0.125 0.968
0.875 0.843 0.468

---

Entry 5:
Re4TeIr GGA-PBE optimized geometry; size of the total moment = 0.00 μB/cell; V = 17.09 Å³ per atom; final energy = -0.34639 Ha/atom; formation energy from raw total energies = 873 meV/atom
1.0
0.000 3.715 3.715
3.715 0.000 3.715
3.715 3.715 0.000
Re Te Ir
4 1 1
direct
0.377 0.377 0.377
0.377 0.377 0.870
0.377 0.870 0.377
0.870 0.377 0.377
0.000 0.000 0.000
0.750 0.750 0.750

---

Entry 6:
Ce6SmAs8 GGA-PBE optimized geometry; size of the total moment = 2.83 μB/cell; V = 27.87 Å³ per atom; final energy = -0.23493 Ha/atom
1.0
0.000 5.935 5.935
5.935 0.000 5.935
5.935 5.935 0.000
Ce Sm As
6 1 8
direct
0.000 0.000 0.500
0.000 0.500 0.000
0.000 0.500 0.500
0.500 0.000 0.000
0.500 0.000 0.500
0.500 0.500 0.000
0.000 0.000 0.000
0.250 0.250 0.250
0.250 0.250 0.750
0.250 0.750 0.250
0.250 0.750 0.750
0.750 0.250 0.250
0.750 0.250 0.750
0.750 0.750 0.250
0.750 0.750 0.750

---

Entry 7:
Na3MnRh2Se6 GGA-PBE optimized geometry; size of the total moment = 4.00 μB/cell; V = 21.13 Å³ per atom; final energy = -0.17436 Ha/atom; formation energy from raw total energies = -683 meV/atom
1.0
3.296 -5.708 0.000
3.296 5.708 0.000
-2.204 0.000 6.741
Na Mn Rh Se
3 1 2 6
direct
0.000 0.000 0.000
0.334 0.666 0.000
0.666 0.334 0.000
0.500 0.500 0.500
0.167 0.833 0.500
0.833 0.167 0.500
0.095 0.435 0.306
0.224 0.224 0.695
0.435 0.095 0.306
0.565 0.905 0.694
0.776 0.776 0.305
0.905 0.565 0.694

---

Entry 8:
Y2RuPb GGA-PBE optimized geometry; size of the total moment = 0.00 μB/cell; V = 24.52 Å³ per atom; final energy = -0.25480 Ha/atom
1.0
2.415 -2.422 0.000
2.415 2.422 0.000
0.000 0.000 8.385
Y Ru Pb
2 1 1
direct
0.000 0.000 0.201
0.000 0.000 0.799
0.500 0.500 0.000
0.500 0.500 0.500

---

Entry 9:
Hg2TeMo GGA-PBE optimized geometry; size of the total moment = 1.49 μB/cell; V = 22.16 Å³ per atom; final energy = -0.10810 Ha/atom; formation energy from raw total energies = 702 meV/atom
1.0
3.930 0.000 0.000
0.000 3.930 0.000
0.000 0.000 5.738
Hg Te Mo
2 1 1
direct
0.000 0.000 0.239
0.000 0.000 0.761
0.500 0.500 0.500
0.500 0.500 0.000

---

Entry 10:
B3MoH GGA-PBE optimized geometry; polymorph energy (0 for the lowest one) = 0 meV/atom; size of the total moment = 0.00 μB/cell; V = 7.38 Å³ per atom; final energy = -0.21699 Ha/atom
1.0
3.329 0.000 0.000
0.000 3.329 0.000
0.000 0.000 3.329
B Mo H
3 1 1
direct
0.000 0.000 0.500
0.000 0.500 0.000
0.500 0.000 0.000
0.500 0.500 0.500
0.000 0.000 0.000

---

Entry 11:
AlHgRh2 GGA-PBE optimized geometry; polymorph energy (0 for the lowest one) = 357 meV/atom; size of the total moment = 0.00 μB/cell; V = 15.75 Å³ per atom; final energy = -0.17739 Ha/atom
1.0
-1.968 1.968 4.067
1.968 -1.968 4.067
1.968 1.968 -4.067
Al Hg Rh
1 1 2
direct
0.000 0.000 0.000
0.250 0.750 0.500
0.500 0.500 0.000
0.750 0.250 0.500

---

Entry 12:
Na2Mg3TlSn4 GGA-PBE optimized geometry; size of the total moment = 0.00 μB/cell; V = 28.84 Å³ per atom; final energy = -0.09841 Ha/atom
1.0
4.708 0.000 0.000
0.000 4.708 0.000
0.000 0.000 13.013
Na Mg Tl Sn
2 3 1 4
direct
0.000 0.500 0.242
0.500 0.000 0.758
0.000 0.000 0.000
0.000 0.500 0.641
0.500 0.000 0.359
0.500 0.500 0.000
0.000 0.000 0.500
0.000 0.500 0.857
0.500 0.000 0.143
0.500 0.500 0.500

---

Question: V of number 11 (AlHgRh2)?
Answer: 15.75 Å³ per atom

---

Question: Among the records above, which one has the highest V?
Answer: LaMg2SnPd

---

Question: Number 8 is which compound?
Answer: Y2RuPb